Entry 1:
This record from Alexandria describes Ce3Pr4UN8 after structural relaxation. The functional is GGA-PBE.

## Properties
N(E_F) (states/eV/atom): 0.637
E (eV per cell): -413.0
Crystal system: trigonal
Magnetization (μB/atom): 0.0162
ΔE_f (raw) (meV/atom): -1429

Lattice parameters (Å, degrees): 7.1904 7.1904 17.6798 90.00 90.00 120.00
Space group R-3m (No. 166, hexagonal axes)
One atom of each set of equivalent atoms:
1 Ce 0.0000 0.5000 0.0000 (multiplicity 9)
2 Pr 0.0000 0.0000 0.5000 (multiplicity 3)
3 Pr 0.0000 0.5000 0.5000 (multiplicity 9)
4 U 0.0000 0.0000 0.0000 (multiplicity 3)
5 N 0.0000 0.0000 0.2580 (multiplicity 6)
6 N 0.0231 0.5115 0.7384 (multiplicity 18)

Entry 2:
This record from Alexandria describes ErPa2MoC4 after structural relaxation. The functional is GGA-PBE.

## Properties
N(E_F) (states/eV/atom): 0.685
E (eV per cell): -288.4
Crystal system: orthorhombic
Magnetization (μB/atom): 0.0000
Energy of formation (eV per atom): -0.1023

Lattice parameters (Å, degrees): 3.6176 11.8653 11.8313 90.00 90.00 90.00
Space group Cmcm (No. 63)
One atom of each set of equivalent atoms:
1 Er 0.0000 0.1338 0.2500 (multiplicity 4)
2 Pa 0.0000 0.3688 0.0408 (multiplicity 8)
3 Mo 0.0000 0.1311 0.7500 (multiplicity 4)
4 C 0.0000 0.0000 0.0000 (multiplicity 4)
5 C 0.0000 0.2571 0.6273 (multiplicity 8)
6 C 0.0000 0.4485 0.2500 (multiplicity 4)

Entry 3:
This record from Alexandria describes AgN2O2 after structural relaxation. The functional is GGA-PBE.

## Properties
N(E_F) (states/eV/atom): 1.030
ΔE to the lowest computed polymorph (kJ/mol of atoms): 76.5
E (eV per cell): -16.9
Crystal system: tetragonal
Magnetization (μB/atom): 0.6444
ΔE_f (raw) (meV/atom): 2497

Lattice parameters (Å, degrees): 4.2286 4.2286 4.1581 90.00 90.00 90.00
Space group P4/mmm (No. 123)
One atom of each set of equivalent atoms:
1 Ag 0.0000 0.0000 0.0000 (multiplicity 1)
2 N 0.0000 0.0000 0.5000 (multiplicity 1)
3 N 0.5000 0.5000 0.5000 (multiplicity 1)
4 O 0.0000 0.5000 0.0000 (multiplicity 2)

Entry 4:
This record from Alexandria describes NbAlPd2 after structural relaxation. The functional is GGA-PBE.

## Properties
N(E_F) (states/eV/atom): 0.729
E (eV per cell): -25.9
Crystal system: tetragonal
Magnetization (μB/atom): 0.0000
Energy of formation (eV per atom): -0.4214

Lattice parameters (Å, degrees): 4.7398 4.7398 2.8500 90.00 90.00 90.00
Space group P4/mmm (No. 123)
One atom of each set of equivalent atoms:
1 Nb 0.0000 0.0000 0.0000 (multiplicity 1)
2 Al 0.5000 0.5000 0.0000 (multiplicity 1)
3 Pd 0.0000 0.5000 0.5000 (multiplicity 2)

Entry 5:
This record from Alexandria describes HfTi2Ga after structural relaxation. The functional is GGA-PBE.

## Properties
N(E_F) (states/eV/atom): 0.935
E (eV per cell): -29.9
Crystal system: tetragonal
Magnetization (μB/atom): 0.0000
Energy of formation (eV per atom): -0.2730

Lattice parameters (Å, degrees): 4.1155 4.1155 4.1425 90.00 90.00 90.00
Space group P4/mmm (No. 123)
One atom of each set of equivalent atoms:
1 Hf 0.0000 0.0000 0.0000 (multiplicity 1)
2 Ti 0.0000 0.5000 0.5000 (multiplicity 2)
3 Ga 0.5000 0.5000 0.0000 (multiplicity 1)

Entry 6:
This record from Alexandria describes AsBrCl2 after structural relaxation. The functional is GGA-PBE.

## Properties
N(E_F) (states/eV/atom): 0.814
ΔE to the lowest computed polymorph (kJ/mol of atoms): 68.2
E (eV per cell): -29.0
Crystal system: trigonal
Magnetization (μB/atom): 0.0000
ΔE_f (raw) (meV/atom): 88

Lattice parameters (Å, degrees): 3.9269 3.9269 28.4350 90.00 90.00 120.00
Space group R-3m (No. 166, hexagonal axes)
One atom of each set of equivalent atoms:
1 As 0.0000 0.0000 0.0000 (multiplicity 3)
2 Br 0.0000 0.0000 0.5000 (multiplicity 3)
3 Cl 0.0000 0.0000 0.3797 (multiplicity 6)

Entry 7:
This record from Alexandria describes ThZn12Au4 after structural relaxation. The functional is GGA-PBE.

## Properties
N(E_F) (states/eV/atom): 0.574
E (eV per cell): -70.5
Crystal system: cubic
Magnetization (μB/atom): 0.0000
Energy of formation (eV per atom): 0.0328

Lattice parameters (Å, degrees): 8.8503 8.8503 8.8503 90.00 90.00 90.00
Space group Im-3 (No. 204)
One atom of each set of equivalent atoms:
1 Th 0.0000 0.0000 0.0000 (multiplicity 2)
2 Zn 0.0000 0.3551 0.1452 (multiplicity 24)
3 Au 0.2500 0.2500 0.2500 (multiplicity 8)

Entry 8:
This record from Alexandria describes Tb3DyEr2Te6 after structural relaxation. The functional is GGA-PBE.

## Properties
N(E_F) (states/eV/atom): 0.526
E (eV per cell): -123.5
Crystal system: monoclinic
Magnetization (μB/atom): 0.0000
ΔE_f (raw) (meV/atom): -1272

Lattice parameters (Å, degrees): 18.9801 4.3299 8.7448 90.00 103.60 90.00
Space group C2/m (No. 12)
One atom of each set of equivalent atoms:
1 Tb 0.0000 0.0000 0.0000 (multiplicity 2)
2 Tb 0.1652 0.5000 0.3330 (multiplicity 4)
3 Dy 0.0000 0.0000 0.5000 (multiplicity 2)
4 Er 0.1656 0.5000 0.8314 (multiplicity 4)
5 Te 0.0013 0.5000 0.7496 (multiplicity 4)
6 Te 0.1670 0.0000 0.5864 (multiplicity 4)
7 Te 0.1683 0.0000 0.0804 (multiplicity 4)

Entry 9:
This record from Alexandria describes KBaAuBr after structural relaxation. The functional is GGA-PBE.

## Properties
N(E_F) (states/eV/atom): 0.979
E (eV per cell): -47.0
Crystal system: cubic
Magnetization (μB/atom): 0.0001
ΔE_f (raw) (meV/atom): -946

Lattice parameters (Å, degrees): 8.1695 8.1695 8.1695 90.00 90.00 90.00
Space group F-43m (No. 216)
One atom of each set of equivalent atoms:
1 K 0.0000 0.0000 0.0000 (multiplicity 4)
2 Ba 0.0000 0.0000 0.5000 (multiplicity 4)
3 Au 0.2500 0.2500 0.2500 (multiplicity 4)
4 Br 0.2500 0.2500 0.7500 (multiplicity 4)

Entry 10:
This record from Alexandria describes AcErMgPd after structural relaxation. The functional is GGA-PBE.

## Properties
N(E_F) (states/eV/atom): 0.798
E (eV per cell): -66.6
Crystal system: cubic
Magnetization (μB/atom): 0.0000
Energy of formation (eV per atom): -0.3004

Lattice parameters (Å, degrees): 7.5783 7.5783 7.5783 90.00 90.00 90.00
Space group F-43m (No. 216)
One atom of each set of equivalent atoms:
1 Ac 0.0000 0.0000 0.0000 (multiplicity 4)
2 Er 0.0000 0.0000 0.5000 (multiplicity 4)
3 Mg 0.2500 0.2500 0.7500 (multiplicity 4)
4 Pd 0.2500 0.2500 0.2500 (multiplicity 4)

Entry 11:
This record from Alexandria describes YZr2W after structural relaxation. The functional is GGA-PBE.

## Properties
N(E_F) (states/eV/atom): 1.474
ΔE to the lowest computed polymorph (kJ/mol of atoms): 21.6
E (eV per cell): -34.9
Crystal system: orthorhombic
Magnetization (μB/atom): 0.0000
Energy of formation (eV per atom): 0.3922

Lattice parameters (Å, degrees): 3.0389 4.6510 6.3336 90.00 90.00 90.00
Space group Pmmm (No. 47)
One atom of each set of equivalent atoms:
1 Y 0.0000 0.0000 0.0000 (multiplicity 1)
2 Zr 0.5000 0.5000 0.2795 (multiplicity 2)
3 W 0.0000 0.0000 0.5000 (multiplicity 1)

Entry 12:
This record from Alexandria describes Tb12PrDy6 after structural relaxation. The functional is GGA-PBE.

## Properties
N(E_F) (states/eV/atom): 1.687
ΔE to the lowest computed polymorph (kJ/mol of atoms): 0.0
E (eV per cell): -255.2
Crystal system: trigonal
Magnetization (μB/atom): 0.0000
Energy of formation (eV per atom): 0.1518

Lattice parameters (Å, degrees): 11.9389 11.9389 15.1412 90.00 90.00 120.00
Space group R-3 (No. 148, hexagonal axes)
One atom of each set of equivalent atoms:
1 Tb 0.0147 0.1801 0.1917 (multiplicity 18)
2 Tb 0.0419 0.1910 0.4162 (multiplicity 18)
3 Pr 0.0000 0.0000 0.0000 (multiplicity 3)
4 Dy 0.0091 0.5866 0.6806 (multiplicity 18)